No. 1
Compound: BaCo2Ag
Source: the Alexandria database
Functional: PBE-GGA
Structure: optimized geometry

```
data_BaCo2Ag
_chemical_formula_sum 'Ba4 Co8 Ag4'
_symmetry_space_group_name_H-M 'F m -3 m'
_symmetry_Int_Tables_number 225
_symmetry_space_group_name_Hall '-F 4 2 3'
_cell_length_a 6.8401
_cell_length_b 6.8401
_cell_length_c 6.8401
_cell_angle_alpha 90.00
_cell_angle_beta 90.00
_cell_angle_gamma 90.00
loop_
_atom_site_label
_atom_site_fract_x
_atom_site_fract_y
_atom_site_fract_z
Ba1 0.0000 0.0000 0.0000
Co1 0.2500 0.2500 0.2500
Ag1 0.0000 0.0000 0.5000
```

As for the formation energy: 0.92 eV per atom. As for the crystal system: cubic.



No. 2
Compound: BaIn2Pt
Source: the Alexandria database
Functional: PBE-GGA
Structure: optimized geometry

```
data_BaIn2Pt
_chemical_formula_sum 'Ba3 In6 Pt3'
_symmetry_space_group_name_H-M 'R -3 m'
_symmetry_Int_Tables_number 166
_symmetry_space_group_name_Hall '-R 3 2"'
_cell_length_a 4.6163
_cell_length_b 4.6163
_cell_length_c 19.1555
_cell_angle_alpha 90.00
_cell_angle_beta 90.00
_cell_angle_gamma 120.00
loop_
_atom_site_label
_atom_site_fract_x
_atom_site_fract_y
_atom_site_fract_z
Ba1 0.0000 0.0000 0.0000
In1 0.0000 0.0000 0.2102
Pt1 0.0000 0.0000 0.5000
```

As for the formation energy: -0.52 eV per atom. As for the crystal system: trigonal.



No. 3
Compound: Sc3Sb2As
Source: the Alexandria database
Functional: PBE-GGA
Structure: optimized geometry

```
data_Sc3Sb2As
_chemical_formula_sum 'Sc48 Sb32 As16'
_symmetry_space_group_name_H-M 'F d d d'
_symmetry_Int_Tables_number 70
_cell_length_a 8.1680
_cell_length_b 11.5213
_cell_length_c 24.2930
_cell_angle_alpha 90.00
_cell_angle_beta 90.00
_cell_angle_gamma 90.00
loop_
_symmetry_equiv_pos_as_xyz
'x,y,z'
'-x,-y,-z'
'-x+1/4,-y+1/4,z'
'x+1/4,y+1/4,-z'
'x,-y+1/4,-z+1/4'
'-x,y+1/4,z+1/4'
'-x+1/4,y,-z+1/4'
'x+1/4,-y,z+1/4'
'x,y+1/2,z+1/2'
'-x,-y+1/2,-z+1/2'
'-x+1/4,-y+3/4,z+1/2'
'x+1/4,y+3/4,-z+1/2'
'x,-y+3/4,-z+3/4'
'-x,y+3/4,z+3/4'
'-x+1/4,y+1/2,-z+3/4'
'x+1/4,-y+1/2,z+3/4'
'x+1/2,y,z+1/2'
'-x+1/2,-y,-z+1/2'
'-x+3/4,-y+1/4,z+1/2'
'x+3/4,y+1/4,-z+1/2'
'x+1/2,-y+1/4,-z+3/4'
'-x+1/2,y+1/4,z+3/4'
'-x+3/4,y,-z+3/4'
'x+3/4,-y,z+3/4'
'x+1/2,y+1/2,z'
'-x+1/2,-y+1/2,-z'
'-x+3/4,-y+3/4,z'
'x+3/4,y+3/4,-z'
'x+1/2,-y+3/4,-z+1/4'
'-x+1/2,y+3/4,z+1/4'
'-x+3/4,y+1/2,-z+1/4'
'x+3/4,-y+1/2,z+1/4'
loop_
_atom_site_label
_atom_site_fract_x
_atom_site_fract_y
_atom_site_fract_z
Sc1 0.1064 0.3750 0.3750
Sc2 0.1169 0.3678 0.2117
Sb1 0.1250 0.1250 0.3769
Sb2 0.1250 0.1250 0.5440
As1 0.1250 0.1250 0.0415
```

The calculation puts the uncorrected formation energy at -6.4 eV/f.u. As for the crystal system: orthorhombic.



No. 4
Compound: MnAsSe2
Source: the Alexandria database
Functional: PBE-GGA
Structure: optimized geometry

```
data_MnAsSe2
_chemical_formula_sum 'Mn3 As3 Se6'
_symmetry_space_group_name_H-M 'R -3 m'
_symmetry_Int_Tables_number 166
_symmetry_space_group_name_Hall '-R 3 2"'
_cell_length_a 3.5177
_cell_length_b 3.5177
_cell_length_c 24.5825
_cell_angle_alpha 90.00
_cell_angle_beta 90.00
_cell_angle_gamma 120.00
loop_
_atom_site_label
_atom_site_fract_x
_atom_site_fract_y
_atom_site_fract_z
Mn1 0.0000 0.0000 0.0000
As1 0.0000 0.0000 0.5000
Se1 0.0000 0.0000 0.3924
```

The calculation puts the uncorrected formation energy at -0.3 eV/f.u. As for the crystal system: trigonal.



No. 5
Compound: La2NiSn3Rh4
Source: the Alexandria database
Functional: PBE-GGA
Structure: optimized geometry

```
data_La2NiSn3Rh4
_chemical_formula_sum 'La2 Ni1 Sn3 Rh4'
_symmetry_space_group_name_H-M 'P -4 m 2'
_symmetry_Int_Tables_number 115
_symmetry_space_group_name_Hall 'P -4 -2'
_cell_length_a 4.3522
_cell_length_b 4.3522
_cell_length_c 11.1620
_cell_angle_alpha 90.00
_cell_angle_beta 90.00
_cell_angle_gamma 90.00
loop_
_atom_site_label
_atom_site_fract_x
_atom_site_fract_y
_atom_site_fract_z
La1 0.0000 0.5000 0.2356
Ni1 0.5000 0.5000 0.0000
Sn1 0.0000 0.0000 0.0000
Sn2 0.0000 0.5000 0.6310
Rh1 0.0000 0.0000 0.5000
Rh2 0.0000 0.5000 0.8667
Rh3 0.5000 0.5000 0.5000
```

As for the formation energy: -0.63 eV per atom. As for the crystal system: tetragonal.



No. 6
Compound: ZrMoAu2
Source: the Alexandria database
Functional: PBE-GGA
Structure: optimized geometry

```
data_ZrMoAu2
_chemical_formula_sum 'Zr2 Mo2 Au4'
_symmetry_space_group_name_H-M 'I 4/m m m'
_symmetry_Int_Tables_number 139
_symmetry_space_group_name_Hall '-I 4 2'
_cell_length_a 4.1235
_cell_length_b 4.1235
_cell_length_c 8.5042
_cell_angle_alpha 90.00
_cell_angle_beta 90.00
_cell_angle_gamma 90.00
loop_
_atom_site_label
_atom_site_fract_x
_atom_site_fract_y
_atom_site_fract_z
Zr1 0.0000 0.0000 0.0000
Mo1 0.0000 0.0000 0.5000
Au1 0.0000 0.5000 0.2500
```

As for the formation energy: -0.11 eV per atom. The value obtained for the energy above the lowest structure with this stoichiometry is 21 meV/atom. As for the crystal system: tetragonal.



No. 7
Compound: BaVAg2S4
Source: the Alexandria database
Functional: PBE-GGA
Structure: optimized geometry

```
data_BaVAg2S4
_chemical_formula_sum 'Ba2 V2 Ag4 S8'
_symmetry_space_group_name_H-M 'I 2 2 2'
_symmetry_Int_Tables_number 23
_symmetry_space_group_name_Hall 'I 2 2'
_cell_length_a 6.6110
_cell_length_b 7.1563
_cell_length_c 8.1340
_cell_angle_alpha 90.00
_cell_angle_beta 90.00
_cell_angle_gamma 90.00
loop_
_atom_site_label
_atom_site_fract_x
_atom_site_fract_y
_atom_site_fract_z
Ba1 0.0000 0.0000 0.0000
V1 0.0000 0.0000 0.5000
Ag1 0.0000 0.5000 0.1896
S1 0.1856 0.1866 0.6599
```

The calculation puts the uncorrected formation energy at -6.8 eV/f.u. As for the crystal system: orthorhombic.



No. 8
Compound: ErZr2Sc10
Source: the Alexandria database
Functional: PBE-GGA
Structure: optimized geometry

```
data_ErZr2Sc10
_chemical_formula_sum 'Er4 Zr8 Sc40'
_symmetry_space_group_name_H-M 'F m m m'
_symmetry_Int_Tables_number 69
_symmetry_space_group_name_Hall '-F 2 2'
_cell_length_a 6.0580
_cell_length_b 14.1015
_cell_length_c 15.8039
_cell_angle_alpha 90.00
_cell_angle_beta 90.00
_cell_angle_gamma 90.00
loop_
_atom_site_label
_atom_site_fract_x
_atom_site_fract_y
_atom_site_fract_z
Er1 0.0000 0.0000 0.0000
Zr1 0.2500 0.2500 0.0000
Sc1 0.0000 0.1040 0.3992
Sc2 0.0000 0.1844 0.1655
Sc3 0.2500 0.0000 0.2500
```

As for the formation energy: 0.23 eV per atom. As for the crystal system: orthorhombic.



No. 9
Compound: MgO2F3
Source: the Alexandria database
Functional: PBE-GGA
Structure: optimized geometry

```
data_MgO2F3
_chemical_formula_sum 'Mg4 O8 F12'
_symmetry_space_group_name_H-M 'C 1 2/c 1'
_symmetry_Int_Tables_number 15
_symmetry_space_group_name_Hall '-C 2yc'
_cell_length_a 15.0814
_cell_length_b 5.7752
_cell_length_c 3.6128
_cell_angle_alpha 90.00
_cell_angle_beta 96.64
_cell_angle_gamma 90.00
loop_
_atom_site_label
_atom_site_fract_x
_atom_site_fract_y
_atom_site_fract_z
Mg1 0.0000 0.2498 0.2500
O1 0.2016 0.0000 0.1017
F1 0.0000 0.1288 0.7500
F2 0.0887 0.5002 0.0421
```

The calculation puts the uncorrected formation energy at -5.6 eV/f.u. As for the crystal system: monoclinic.



No. 10
Compound: KLiTlF6
Source: the Alexandria database
Functional: PBE-GGA
Structure: optimized geometry

```
data_KLiTlF6
_chemical_formula_sum 'K1 Li1 Tl1 F6'
_symmetry_space_group_name_H-M 'P 3 1 2'
_symmetry_Int_Tables_number 149
_symmetry_space_group_name_Hall 'P 3 2'
_cell_length_a 5.5633
_cell_length_b 5.5633
_cell_length_c 5.7516
_cell_angle_alpha 90.00
_cell_angle_beta 90.00
_cell_angle_gamma 120.00
loop_
_atom_site_label
_atom_site_fract_x
_atom_site_fract_y
_atom_site_fract_z
K1 0.0000 0.0000 0.0000
Li1 0.3333 0.6667 0.5000
Tl1 0.6667 0.3333 0.5000
F1 0.0128 0.3846 0.7054
```

The calculation puts the uncorrected formation energy at -18.6 eV/f.u. As for the crystal system: trigonal.



No. 11
Compound: Ba4NaTl
Source: the Alexandria database
Functional: PBE-GGA
Structure: optimized geometry

```
data_Ba4NaTl
_chemical_formula_sum 'Ba4 Na1 Tl1'
_symmetry_space_group_name_H-M 'P 4/m m m'
_symmetry_Int_Tables_number 123
_symmetry_space_group_name_Hall '-P 4 2'
_cell_length_a 6.0461
_cell_length_b 6.0461
_cell_length_c 9.2197
_cell_angle_alpha 90.00
_cell_angle_beta 90.00
_cell_angle_gamma 90.00
loop_
_atom_site_label
_atom_site_fract_x
_atom_site_fract_y
_atom_site_fract_z
Ba1 0.0000 0.5000 0.2183
Na1 0.0000 0.0000 0.5000
Tl1 0.5000 0.5000 0.0000
```

As for the formation energy: -0.04 eV per atom. The value obtained for the energy above the lowest structure with this stoichiometry is 92 meV/atom. As for the crystal system: tetragonal.



No. 12
Compound: LuZrAlOs
Source: the Alexandria database
Functional: PBE-GGA
Structure: optimized geometry

```
data_LuZrAlOs
_chemical_formula_sum 'Lu4 Zr4 Al4 Os4'
_symmetry_space_group_name_H-M 'F -4 3 m'
_symmetry_Int_Tables_number 216
_symmetry_space_group_name_Hall 'F -4 2 3'
_cell_length_a 6.7489
_cell_length_b 6.7489
_cell_length_c 6.7489
_cell_angle_alpha 90.00
_cell_angle_beta 90.00
_cell_angle_gamma 90.00
loop_
_atom_site_label
_atom_site_fract_x
_atom_site_fract_y
_atom_site_fract_z
Lu1 0.0000 0.0000 0.0000
Zr1 0.0000 0.0000 0.5000
Al1 0.2500 0.2500 0.2500
Os1 0.2500 0.2500 0.7500
```

As for the formation energy: -0.38 eV per atom. As for the crystal system: cubic.



Calculated ρ, 7.5 7.9 5.3 5.4 8.7 13.3 4.6 3.9 2.4 3.9 3.8 10.4 Mg/m³ (same order as the records).